PBE BiPdS2N, relaxed; size of the total moment = 0.10 μB per atom; space group = No. 123; crystal system = tetragonal; offset from the most stable computed form = 0.00 eV/f.u.
1.0
-0.3040 3.1469 -3.8479
-2.7790 -3.3039 -2.4824
-3.1144 1.5080 1.4794
Bi S N Pd
1 2 1 1
direct
0.5000 0.5000 0.5000 Bi
0.0000 0.5000 0.0000 S
0.5000 0.0000 0.0000 S
0.0000 0.0000 0.5000 N
0.0000 0.0000 0.0000 Pd